Entry w
KRb2LiPb | PBE | optimized geometry

Unit cell a=6.7716 b=6.7716 c=5.4317 alpha=90.00 beta=90.00 gamma=90.00
With the nearest neighbours (Å) after each atom.
Atoms (fractional coordinates):
K: 0.0000 0.0000 0.0000  8 Rb 4.34, 4 Pb 4.79
Rb: 0.0000 0.5000 0.5000  2 Li 3.39
Rb: 0.5000 0.0000 0.5000  2 Li 3.39
Li: 0.5000 0.5000 0.5000  2 Pb 2.72
Pb: 0.5000 0.5000 0.0000  2 Li 2.72

The space group is P4/mmm. For the spin magnetization, the calculation gives 0.00 μB/cell.

=====

Entry x
KRb2LiPb | PBE | optimized geometry

Unit cell a=7.2524 b=7.2524 c=5.5732 alpha=90.00 beta=90.00 gamma=90.00
With the nearest neighbours (Å) after each atom.
Atoms (fractional coordinates):
K: 0.0000 0.0000 0.0000  8 Rb 4.57
Rb: 0.0000 0.5000 0.5000  2 Pb 3.63
Rb: 0.5000 0.0000 0.5000  2 Pb 3.63
Li: 0.5000 0.5000 0.0000  2 Pb 2.79
Pb: 0.5000 0.5000 0.5000  2 Li 2.79

The space group is P4/mmm. For the spin magnetization, the calculation gives 0.00 μB/cell.

=====

The structure with the most favorable energy is entry w; the runner-up is 28 meV per atom above it.